[1]
# Mg2Ag8Sb | Alexandria via LeMat-Bulk | PBE-GGA | optimized geometry
data_Mg2Ag8Sb
_chemical_formula_sum 'Mg4 Ag16 Sb2'
_cell_length_a 15.106
_cell_length_b 4.178
_cell_length_c 6.798
_cell_angle_alpha 90.00
_cell_angle_beta 106.40
_cell_angle_gamma 90.00
_space_group_name_H-M_alt 'C 1 2/m 1'
_space_group_IT_number 12
loop_
_space_group_symop_operation_xyz
'x,y,z'
'-x,-y,-z'
'-x,y,-z'
'x,-y,z'
'x+1/2,y+1/2,z'
'-x+1/2,-y+1/2,-z'
'-x+1/2,y+1/2,-z'
'x+1/2,-y+1/2,z'
loop_
_atom_site_label
_atom_site_fract_x
_atom_site_fract_y
_atom_site_fract_z
Mg1 0.222 0.000 0.149
Ag1 0.043 0.000 0.219
Ag2 0.095 0.500 0.958
Ag3 0.144 0.000 0.694
Ag4 0.182 0.500 0.408
Sb1 0.000 0.500 0.500
# ΔE_f (raw) ... -0.08 eV/atom

[2]
# Mg3AgSb | Alexandria via LeMat-Bulk | PBE-GGA | optimized geometry
data_Mg3AgSb
_chemical_formula_sum 'Mg3 Ag1 Sb1'
_cell_length_a 5.082
_cell_length_b 5.082
_cell_length_c 5.082
_cell_angle_alpha 90.00
_cell_angle_beta 90.00
_cell_angle_gamma 90.00
_space_group_name_H-M_alt 'P m -3 m'
_space_group_IT_number 221
_space_group_name_Hall '-P 4 2 3'
loop_
_atom_site_label
_atom_site_fract_x
_atom_site_fract_y
_atom_site_fract_z
Mg1 0.000 0.000 0.500
Ag1 0.000 0.000 0.000
Sb1 0.500 0.500 0.500
# ΔE_f (raw) ... 0.12 eV/atom

[3]
# MgAg2Sb | Alexandria via LeMat-Bulk | PBE-GGA | optimized geometry
data_MgAg2Sb
_chemical_formula_sum 'Mg2 Ag4 Sb2'
_cell_length_a 9.696
_cell_length_b 3.283
_cell_length_c 5.338
_cell_angle_alpha 90.00
_cell_angle_beta 99.26
_cell_angle_gamma 90.00
_space_group_name_H-M_alt 'C 1 m 1'
_space_group_IT_number 8
loop_
_space_group_symop_operation_xyz
'x,y,z'
'x,-y,z'
'x+1/2,y+1/2,z'
'x+1/2,-y+1/2,z'
loop_
_atom_site_label
_atom_site_fract_x
_atom_site_fract_y
_atom_site_fract_z
Mg1 0.000 0.000 0.000
Ag1 0.009 0.500 0.554
Ag2 0.257 0.000 0.784
Sb1 0.254 0.500 0.286
# ΔE_f (raw) ... -0.04 eV/atom

[4]
# MgAgSb2 | Alexandria via LeMat-Bulk | PBE-GGA | optimized geometry
data_MgAgSb2
_chemical_formula_sum 'Mg1 Ag1 Sb2'
_cell_length_a 3.540
_cell_length_b 3.540
_cell_length_c 7.957
_cell_angle_alpha 90.00
_cell_angle_beta 90.00
_cell_angle_gamma 90.00
_space_group_name_H-M_alt 'P 4 m m'
_space_group_IT_number 99
loop_
_space_group_symop_operation_xyz
'x,y,z'
'-y,x,z'
'-x,-y,z'
'y,-x,z'
'-x,y,z'
'y,x,z'
'x,-y,z'
'-y,-x,z'
loop_
_atom_site_label
_atom_site_fract_x
_atom_site_fract_y
_atom_site_fract_z
Mg1 0.000 0.000 0.000
Ag1 0.500 0.500 0.820
Sb1 0.000 0.000 0.610
Sb2 0.500 0.500 0.212
# ΔE_f (raw) ... -0.01 eV/atom

[5]
# MgAg14Sb | Alexandria via LeMat-Bulk | PBE-GGA | optimized geometry
data_MgAg14Sb
_chemical_formula_sum 'Mg2 Ag28 Sb2'
_cell_length_a 9.554
_cell_length_b 5.954
_cell_length_c 10.382
_cell_angle_alpha 90.00
_cell_angle_beta 90.00
_cell_angle_gamma 90.00
_space_group_name_H-M_alt 'A m m 2'
_space_group_IT_number 38
loop_
_space_group_symop_operation_xyz
'x,y,z'
'-x,-y,z'
'-x,y,z'
'x,-y,z'
'x,y+1/2,z+1/2'
'-x,-y+1/2,z+1/2'
'-x,y+1/2,z+1/2'
'x,-y+1/2,z+1/2'
loop_
_atom_site_label
_atom_site_fract_x
_atom_site_fract_y
_atom_site_fract_z
Mg1 0.000 0.000 0.000
Ag1 0.000 0.250 0.249
Ag2 0.251 0.000 0.166
Ag3 0.254 0.000 0.668
Ag4 0.254 0.245 0.915
Ag5 0.500 0.000 0.332
Ag6 0.500 0.000 0.831
Ag7 0.500 0.250 0.081
Sb1 0.000 0.000 0.498
# ΔE_f (raw) ... 0.00 eV/atom

[6]
# MgAgSb | Alexandria via LeMat-Bulk | PBE-GGA | optimized geometry
data_MgAgSb
_chemical_formula_sum 'Mg2 Ag2 Sb2'
_cell_length_a 4.872
_cell_length_b 4.837
_cell_length_c 6.420
_cell_angle_alpha 90.00
_cell_angle_beta 92.37
_cell_angle_gamma 90.00
_space_group_name_H-M_alt 'P 1 21/m 1'
_space_group_IT_number 11
loop_
_space_group_symop_operation_xyz
'x,y,z'
'-x,-y,-z'
'-x,y+1/2,-z'
'x,-y+1/2,z'
loop_
_atom_site_label
_atom_site_fract_x
_atom_site_fract_y
_atom_site_fract_z
Mg1 0.232 0.250 0.000
Ag1 0.192 0.250 0.495
Sb1 0.285 0.750 0.250
# ΔE_f (raw) ... -0.15 eV/atom

[7]
# MgAgSb | Alexandria via LeMat-Bulk | PBE-GGA | optimized geometry
data_MgAgSb
_chemical_formula_sum 'Mg4 Ag4 Sb4'
_cell_length_a 7.503
_cell_length_b 6.346
_cell_length_c 5.677
_cell_angle_alpha 90.00
_cell_angle_beta 90.00
_cell_angle_gamma 90.00
_space_group_name_H-M_alt 'P n m a'
_space_group_IT_number 62
loop_
_space_group_symop_operation_xyz
'x,y,z'
'-x,-y,-z'
'-x+1/2,-y,z+1/2'
'x+1/2,y,-z+1/2'
'x+1/2,-y+1/2,-z+1/2'
'-x+1/2,y+1/2,z+1/2'
'-x,y+1/2,-z'
'x,-y+1/2,z'
loop_
_atom_site_label
_atom_site_fract_x
_atom_site_fract_y
_atom_site_fract_z
Mg1 0.000 0.000 0.000
Ag1 0.181 0.250 0.392
Sb1 0.168 0.750 0.410
# ΔE_f (raw) ... -0.08 eV/atom

[8]
# MgAgSb | Alexandria via LeMat-Bulk | PBE-GGA | optimized geometry
data_MgAgSb
_chemical_formula_sum 'Mg2 Ag2 Sb2'
_cell_length_a 4.481
_cell_length_b 4.481
_cell_length_c 6.856
_cell_angle_alpha 90.00
_cell_angle_beta 90.00
_cell_angle_gamma 90.00
_space_group_name_H-M_alt 'P 4/n m m'
_space_group_IT_number 129
loop_
_space_group_symop_operation_xyz
'x,y,z'
'-x,-y,-z'
'-y+1/2,x,z'
'y+1/2,-x,-z'
'-x+1/2,-y+1/2,z'
'x+1/2,y+1/2,-z'
'y,-x+1/2,z'
'-y,x+1/2,-z'
'x+1/2,-y,-z'
'-x+1/2,y,z'
'-y,-x,-z'
'y,x,z'
'-x,y+1/2,-z'
'x,-y+1/2,z'
'y+1/2,x+1/2,-z'
'-y+1/2,-x+1/2,z'
loop_
_atom_site_label
_atom_site_fract_x
_atom_site_fract_y
_atom_site_fract_z
Mg1 0.250 0.750 0.000
Ag1 0.250 0.250 0.286
Sb1 0.250 0.250 0.709
# ΔE_f (raw) ... -0.10 eV/atom

[9]
# MgAgSb2 | Alexandria via LeMat-Bulk | PBE-GGA | optimized geometry
data_MgAgSb2
_chemical_formula_sum 'Mg1 Ag1 Sb2'
_cell_length_a 3.293
_cell_length_b 4.263
_cell_length_c 6.815
_cell_angle_alpha 90.00
_cell_angle_beta 96.96
_cell_angle_gamma 90.00
_space_group_name_H-M_alt 'P 1 2/m 1'
_space_group_IT_number 10
loop_
_space_group_symop_operation_xyz
'x,y,z'
'-x,-y,-z'
'-x,y,-z'
'x,-y,z'
loop_
_atom_site_label
_atom_site_fract_x
_atom_site_fract_y
_atom_site_fract_z
Mg1 0.000 0.000 0.000
Ag1 0.000 0.000 0.500
Sb1 0.461 0.500 0.750
# ΔE_f (raw) ... 0.02 eV/atom

[10]
# MgAgSb2 | Alexandria via LeMat-Bulk | PBE-GGA | optimized geometry
data_MgAgSb2
_chemical_formula_sum 'Mg3 Ag3 Sb6'
_cell_length_a 3.4974
_cell_length_b 3.4974
_cell_length_c 27.3050
_cell_angle_alpha 90.00
_cell_angle_beta 90.00
_cell_angle_gamma 120.00
_space_group_name_H-M_alt 'R -3 m'
_space_group_IT_number 166
_space_group_name_Hall '-R 3 2"'
loop_
_atom_site_label
_atom_site_fract_x
_atom_site_fract_y
_atom_site_fract_z
Mg1 0.0000 0.0000 0.0000
Ag1 0.0000 0.0000 0.5000
Sb1 0.0000 0.0000 0.2493
# ΔE_f (raw) ... 0.00 eV/atom

[11]
# MgAg2Sb | Alexandria via LeMat-Bulk | PBE-GGA | optimized geometry
data_MgAg2Sb
_chemical_formula_sum 'Mg1 Ag2 Sb1'
_cell_length_a 3.294
_cell_length_b 4.155
_cell_length_c 6.042
_cell_angle_alpha 90.00
_cell_angle_beta 90.00
_cell_angle_gamma 90.00
_space_group_name_H-M_alt 'P m m 2'
_space_group_IT_number 25
loop_
_space_group_symop_operation_xyz
'x,y,z'
'-x,-y,z'
'-x,y,z'
'x,-y,z'
loop_
_atom_site_label
_atom_site_fract_x
_atom_site_fract_y
_atom_site_fract_z
Mg1 0.000 0.000 0.000
Ag1 0.000 0.000 0.537
Ag2 0.500 0.500 0.768
Sb1 0.500 0.500 0.269
# ΔE_f (raw) ... -0.07 eV/atom

[12]
# MgAgSb | Alexandria via LeMat-Bulk | PBE-GGA | optimized geometry
data_MgAgSb
_chemical_formula_sum 'Mg2 Ag2 Sb2'
_cell_length_a 4.6060
_cell_length_b 4.6060
_cell_length_c 10.6951
_cell_angle_alpha 90.00
_cell_angle_beta 90.00
_cell_angle_gamma 120.00
_space_group_name_H-M_alt 'P 63/m m c'
_space_group_IT_number 194
_space_group_name_Hall '-P 6c 2c'
loop_
_atom_site_label
_atom_site_fract_x
_atom_site_fract_y
_atom_site_fract_z
Mg1 0.0000 0.0000 0.2500
Ag1 0.3333 0.6667 0.2500
Sb1 0.0000 0.0000 0.0000
# ΔE_f (raw) ... 0.69 eV/atom

Question: The highest ΔE_f (raw) belongs to which entry?
Answer: number 12

Question: What is the formula in the twelfth record?
Answer: MgAgSb

What did the seventh record say?
# MgAgSb | Alexandria via LeMat-Bulk | PBE-GGA | optimized geometry
data_MgAgSb
_chemical_formula_sum 'Mg4 Ag4 Sb4'
_cell_length_a 7.503
_cell_length_b 6.346
_cell_length_c 5.677
_cell_angle_alpha 90.00
_cell_angle_beta 90.00
_cell_angle_gamma 90.00
_space_group_name_H-M_alt 'P n m a'
_space_group_IT_number 62
loop_
_space_group_symop_operation_xyz
'x,y,z'
'-x,-y,-z'
'-x+1/2,-y,z+1/2'
'x+1/2,y,-z+1/2'
'x+1/2,-y+1/2,-z+1/2'
'-x+1/2,y+1/2,z+1/2'
'-x,y+1/2,-z'
'x,-y+1/2,z'
loop_
_atom_site_label
_atom_site_fract_x
_atom_site_fract_y
_atom_site_fract_z
Mg1 0.000 0.000 0.000
Ag1 0.181 0.250 0.392
Sb1 0.168 0.750 0.410
# ΔE_f (raw) ... -0.08 eV/atom